Here is an optimized crystal structure of MnOF2 from Alexandria via LeMat-Bulk. Energies are from PBE with a Hubbard U.

The value obtained for the total energy is -5.09 eV per atom. Its volume is 12.12 A^3/atom.

a b c (Å): 3.7629 3.7629 13.6912
angles (deg): 90.00 90.00 90.00
With the nearest neighbours (Å) after each atom.
Space group I-42d (No. 122)
Unique sites:
Mn: 0.0000 0.0000 0.0000 [4 per cell]  4 F 2.10
O: 0.0000 0.0000 0.5000 [4 per cell]  4 F 2.24
F: 0.2070 0.2500 0.1250 [8 per cell]  2 Mn 2.10, 2 O 2.24